(1)
PmMg2 | PBE | optimized geometry

Summary:
* offset from the most stable computed form: 0.000 eV/atom
* E_form: -0.10 eV per atom
* total energy: -2.7481 eV/atom

Lattice parameters (Å, degrees): 8.6452 8.6452 8.6452 90.00 90.00 90.00
Space group Fd-3m (No. 227, origin choice 2)
Inequivalent atoms, fractional coordinates:
Pm  0.1250  0.1250  0.1250
Mg  0.0000  0.0000  0.5000


(2)
Pm2Mg | PBE | optimized geometry

Summary:
* offset from the most stable computed form: 0.350 eV/atom
* E_form: 0.29 eV per atom
* total energy: -3.4111 eV/atom

Lattice parameters (Å, degrees): 9.2405 9.2405 9.2405 90.00 90.00 90.00
Space group Fd-3m (No. 227, origin choice 2)
Inequivalent atoms, fractional coordinates:
Pm  0.0000  0.0000  0.0000
Mg  0.1250  0.1250  0.6250


(3)
PmMg3 | PBE | optimized geometry

Summary:
* E_form: -0.07 eV per atom
* total energy: -2.4538 eV/atom

Lattice parameters (Å, degrees): 4.7385 4.7385 4.7385 90.00 90.00 90.00
Space group Pm-3m (No. 221)
Inequivalent atoms, fractional coordinates:
Pm  0.0000  0.0000  0.0000
Mg  0.0000  0.5000  0.5000


(4)
Pm3Mg2 | PBE | optimized geometry

Summary:
* offset from the most stable computed form: 0.036 eV/atom
* E_form: -0.04 eV per atom
* total energy: -3.5285 eV/atom

Lattice parameters (Å, degrees): 5.5279 5.5279 17.1223 90.00 90.00 120.00
Space group R-3m (No. 166, hexagonal axes)
Inequivalent atoms, fractional coordinates:
Pm  0.0000  0.0000  0.0000
Pm  0.0000  0.0000  0.2144
Mg  0.0000  0.0000  0.4116